Record 1
VASP calculation (PBE) on a relaxed structure of ErFe4Pb.

Cell: 5.0801 5.0801 5.0801 Å, 60.00 60.00 60.00°
Fractional coordinates of all 6 atoms:
Er  0.0000  0.0000  0.0000
Fe  0.3744  0.3744  0.3744
Fe  0.3744  0.3744  0.8767
Fe  0.3744  0.8767  0.3744
Fe  0.8767  0.3744  0.3744
Pb  0.7500  0.7500  0.7500

Energy relative to the elements (eV per formula unit): 0.2
Total energy (eV per atom): -6.98

***

Record 2
VASP calculation (PBE) on a relaxed structure of ZnRe2Ag.

Cell: 2.6362 2.6362 8.8690 Å, 90.00 90.00 90.00°
Fractional coordinates of all 4 atoms:
Zn  0.0000  0.0000  0.0000
Re  0.5000  0.5000  0.2377
Re  0.5000  0.5000  0.7623
Ag  0.0000  0.0000  0.5000

Energy relative to the elements (eV per formula unit): 2.3
Total energy (eV per atom): -6.67

***

Record 3
VASP calculation (PBE) on a relaxed structure of Na3Tb3ZrTe8.

Cell: 9.1843 9.1843 9.1843 Å, 56.71 56.71 56.71°
Fractional coordinates of all 15 atoms:
Na  0.0000  0.5000  0.5000
Na  0.5000  0.0000  0.5000
Na  0.5000  0.5000  0.0000
Tb  0.0000  0.0000  0.5000
Tb  0.0000  0.5000  0.0000
Tb  0.5000  0.0000  0.0000
Zr  0.5000  0.5000  0.5000
Te  0.2448  0.2448  0.2448
Te  0.2548  0.7350  0.7350
Te  0.2650  0.2650  0.7452
Te  0.2650  0.7452  0.2650
Te  0.7350  0.2548  0.7350
Te  0.7350  0.7350  0.2548
Te  0.7452  0.2650  0.2650
Te  0.7552  0.7552  0.7552

Formation energy without anion corrections (eV per formula unit): -18.18
Total energy (eV per atom): -4.65

***

Record 4
VASP calculation (PBE) on a relaxed structure of TbAlSi.

Cell: 5.1368 3.7918 6.5437 Å, 90.00 102.54 90.00°
Fractional coordinates of all 6 atoms:
Tb  0.0544  0.2500  0.2381
Tb  0.9456  0.7500  0.7619
Al  0.4675  0.2500  0.8430
Al  0.5325  0.7500  0.1570
Si  0.3702  0.7500  0.5412
Si  0.6298  0.2500  0.4588

Formation energy without anion corrections (eV per formula unit): -1.40
Total energy (eV per atom): -5.06

***

Record 5
VASP calculation (PBE) on a relaxed structure of Sc3BC3.

Cell: 6.1518 6.1518 4.6476 Å, 90.00 90.00 102.75°
Fractional coordinates of all 14 atoms:
Sc  0.1034  0.8966  0.7500
Sc  0.1542  0.4047  0.7500
Sc  0.4047  0.1542  0.2500
Sc  0.5953  0.8458  0.7500
Sc  0.8458  0.5953  0.2500
Sc  0.8966  0.1034  0.2500
B  0.2941  0.7059  0.2500
B  0.7059  0.2941  0.7500
C  0.1202  0.8798  0.2500
C  0.1757  0.4412  0.2500
C  0.4412  0.1757  0.7500
C  0.5588  0.8243  0.2500
C  0.8243  0.5588  0.7500
C  0.8798  0.1202  0.7500

Energy relative to the elements (eV per formula unit): -2.3
Total energy (eV per atom): -7.95

***

Record 6
VASP calculation (PBE) on a relaxed structure of AcPr2Ho.

Cell: 13.1642 13.1642 13.1642 Å, 15.97 15.97 15.97°
Fractional coordinates of all 4 atoms:
Ac  0.0000  0.0000  0.0000
Pr  0.0925  0.0925  0.0925
Pr  0.9075  0.9075  0.9075
Ho  0.5000  0.5000  0.5000

Energy relative to the elements (eV per formula unit): 0.6
Total energy (eV per atom): -4.40

***

Record 7
VASP calculation (PBE) on a relaxed structure of YRe3W.

Cell: 4.7760 4.7760 4.7760 Å, 90.00 90.00 90.00°
Fractional coordinates of all 5 atoms:
Y  0.0000  0.0000  0.0000
Re  0.0000  0.5000  0.5000
Re  0.5000  0.0000  0.5000
Re  0.5000  0.5000  0.0000
W  0.5000  0.5000  0.5000

Energy relative to the elements (eV per formula unit): 7.3
Total energy (eV per atom): -9.90

***

Record 8
VASP calculation (PBE) on a relaxed structure of MgP3N.

Cell: 4.8117 4.8117 4.8117 Å, 90.00 90.00 90.00°
Fractional coordinates of all 5 atoms:
Mg  0.0000  0.0000  0.0000
P  0.0000  0.0000  0.5000
P  0.0000  0.5000  0.0000
P  0.5000  0.0000  0.0000
N  0.5000  0.5000  0.5000

Formation energy without anion corrections (eV per formula unit): 10.16
Total energy (eV per atom): -3.20

***

Record 9
VASP calculation (PBE) on a relaxed structure of Ti3PtS.

Cell: 4.8280 4.8280 4.8280 Å, 90.00 90.00 90.00°
Fractional coordinates of all 5 atoms:
Ti  0.0000  0.0000  0.5000
Ti  0.0000  0.5000  0.0000
Ti  0.5000  0.0000  0.0000
Pt  0.0000  0.0000  0.0000
S  0.5000  0.5000  0.5000

Formation energy without anion corrections (eV per formula unit): 1.49
Total energy (eV per atom): -6.47